The following is a DFT calculation (PBE) of an optimized crystal structure of Ca16Sb11.

Cell and atoms, written as POSCAR:
```
Ca16Sb11
1.0
11.3683 0.0000 0.0000
0.0000 12.2728 0.0000
0.0000 0.0000 12.2733
Ca Sb
32 22
Direct
0.8629 0.5000 0.0000 Ca
0.1371 0.0000 0.5000 Ca
0.4989 0.6336 0.1337 Ca
0.5011 0.1336 0.3663 Ca
0.4989 0.3664 0.8663 Ca
0.5011 0.8664 0.6337 Ca
0.0011 0.7925 0.0878 Ca
0.9989 0.2925 0.4122 Ca
0.0011 0.2075 0.9122 Ca
0.9989 0.7075 0.5878 Ca
0.9990 0.0880 0.2074 Ca
0.0010 0.5880 0.2926 Ca
0.9990 0.9120 0.7926 Ca
0.0010 0.4120 0.7074 Ca
0.2170 0.5000 0.0000 Ca
0.7830 0.0000 0.5000 Ca
0.7108 0.9247 0.2098 Ca
0.2892 0.4247 0.2902 Ca
0.7108 0.0753 0.7902 Ca
0.2892 0.5753 0.7098 Ca
0.2897 0.2095 0.0751 Ca
0.7103 0.7095 0.4249 Ca
0.2897 0.7905 0.9249 Ca
0.7103 0.2905 0.5751 Ca
0.6844 0.5690 0.7040 Ca
0.3156 0.0690 0.7960 Ca
0.6844 0.4310 0.2960 Ca
0.3156 0.9310 0.2040 Ca
0.3156 0.7039 0.4310 Ca
0.6844 0.2039 0.0690 Ca
0.3156 0.2961 0.5690 Ca
0.6844 0.7961 0.9310 Ca
0.8485 0.5000 0.5000 Sb
0.1515 0.0000 0.0000 Sb
0.1516 0.5000 0.5000 Sb
0.8484 0.0000 0.0000 Sb
0.9643 0.8548 0.3548 Sb
0.0357 0.3548 0.1452 Sb
0.9643 0.1452 0.6452 Sb
0.0357 0.6452 0.8548 Sb
0.5129 0.8748 0.3748 Sb
0.4871 0.3748 0.1252 Sb
0.5129 0.1252 0.6252 Sb
0.4871 0.6252 0.8748 Sb
0.7636 0.6642 0.1643 Sb
0.2364 0.1642 0.3357 Sb
0.7636 0.3358 0.8357 Sb
0.2364 0.8358 0.6643 Sb
0.2377 0.6807 0.1807 Sb
0.7623 0.1807 0.3193 Sb
0.2377 0.3193 0.8193 Sb
0.7623 0.8193 0.6807 Sb
0.5001 0.5000 0.5000 Sb
0.4999 0.0000 0.0000 Sb
```

Values from the calculation:
Uncorrected formation energy ... -1.0233 eV per atom
Space group ... P-42_1m, No. 113
Raw total energy ... -3.89 eV per atom